# 1
DFT (GGA-PBE) results for a geometry-optimized Rb2ErRu3O12 structure.

Structure (CIF):
```
data_Rb2ErRu3O12
_symmetry_space_group_name_H-M 'P 1'
_symmetry_Int_Tables_number 1
_cell_length_a 7.5354
_cell_length_b 7.5354
_cell_length_c 7.5354
_cell_angle_alpha 58.10
_cell_angle_beta 58.10
_cell_angle_gamma 58.10
loop_
_symmetry_equiv_pos_as_xyz
'x,y,z'
loop_
_atom_site_label
_atom_site_type_symbol
_atom_site_fract_x
_atom_site_fract_y
_atom_site_fract_z
O1 O 0.9246 0.3543 0.9246
O2 O 0.6457 0.0754 0.0754
Rb1 Rb 0.3835 0.3835 0.3835
O3 O 0.0763 0.6945 0.6945
O4 O 0.6945 0.6945 0.0763
Ru1 Ru 0.5000 0.0000 0.0000
Rb2 Rb 0.6165 0.6165 0.6165
O5 O 0.0754 0.0754 0.6457
O6 O 0.3055 0.3055 0.9237
O7 O 0.3055 0.9237 0.3055
Ru2 Ru 0.0000 0.0000 0.5000
Ru3 Ru 0.0000 0.5000 0.0000
O8 O 0.9237 0.3055 0.3055
O9 O 0.3543 0.9246 0.9246
O10 O 0.9246 0.9246 0.3543
O11 O 0.0754 0.6457 0.0754
Er1 Er 0.0000 0.0000 0.0000
O12 O 0.6945 0.0763 0.6945
```

Space group   No. 166
Calculated volume   16.1 Å³/atom
DOS at the Fermi energy   11.31 states/eV/f.u.
Energy relative to the elements, uncorrected   -1.291 eV/atom

***

# 2
DFT (GGA-PBE) results for a geometry-optimized SnCO2F structure.

Structure (CIF):
```
data_SnCO2F
_symmetry_space_group_name_H-M 'P 1'
_symmetry_Int_Tables_number 1
_cell_length_a 3.6360
_cell_length_b 3.6360
_cell_length_c 3.9957
_cell_angle_alpha 90.00
_cell_angle_beta 90.00
_cell_angle_gamma 90.00
loop_
_symmetry_equiv_pos_as_xyz
'x,y,z'
loop_
_atom_site_label
_atom_site_type_symbol
_atom_site_fract_x
_atom_site_fract_y
_atom_site_fract_z
Sn1 Sn 0.5000 0.5000 0.5000
O1 O 0.5000 0.0000 0.0000
O2 O 0.0000 0.5000 0.0000
F1 F 0.0000 0.0000 0.5000
C1 C 0.0000 0.0000 0.0000
```

Space group   No. 123
Calculated volume   10.6 Å³/atom
DOS at the Fermi energy   2.40 states/eV/f.u.
Energy relative to the elements, uncorrected   0.141 eV/atom

***

# 3
DFT (GGA-PBE) results for a geometry-optimized La3Zn2Ni structure.

Structure (CIF):
```
data_La3Zn2Ni
_symmetry_space_group_name_H-M 'P 1'
_symmetry_Int_Tables_number 1
_cell_length_a 4.7491
_cell_length_b 10.1993
_cell_length_c 12.7201
_cell_angle_alpha 90.00
_cell_angle_beta 90.00
_cell_angle_gamma 90.00
loop_
_symmetry_equiv_pos_as_xyz
'x,y,z'
loop_
_atom_site_label
_atom_site_type_symbol
_atom_site_fract_x
_atom_site_fract_y
_atom_site_fract_z
Ni1 Ni 0.2500 0.1369 0.1128
Ni2 Ni 0.7500 0.6369 0.3872
La1 La 0.7500 0.2212 0.2544
La2 La 0.7500 0.8975 0.4442
Ni3 Ni 0.2500 0.3631 0.6128
La3 La 0.2500 0.0657 0.8932
La4 La 0.7500 0.6025 0.9442
Zn1 Zn 0.7500 0.2122 0.0090
La5 La 0.2500 0.3975 0.0558
Zn2 Zn 0.2500 0.4748 0.7939
La6 La 0.7500 0.2788 0.7544
Zn3 Zn 0.7500 0.5252 0.2061
Zn4 Zn 0.2500 0.7878 0.9910
La7 La 0.7500 0.5657 0.6068
La8 La 0.2500 0.7788 0.7456
La9 La 0.2500 0.7212 0.2456
Zn5 Zn 0.7500 0.2878 0.5090
La10 La 0.7500 0.9343 0.1068
Ni4 Ni 0.7500 0.8631 0.8872
La11 La 0.2500 0.4343 0.3932
Zn6 Zn 0.2500 0.0252 0.2939
Zn7 Zn 0.2500 0.7122 0.4910
Zn8 Zn 0.7500 0.9748 0.7061
La12 La 0.2500 0.1025 0.5558
```

Space group   No. 62
Calculated volume   25.7 Å³/atom
DOS at the Fermi energy   5.24 states/eV/f.u.
DFT formation energy   -0.296 eV/atom

***

# 4
DFT (GGA-PBE) results for a geometry-optimized TaRh2Au structure.

Structure (CIF):
```
data_TaRh2Au
_symmetry_space_group_name_H-M 'P 1'
_symmetry_Int_Tables_number 1
_cell_length_a 3.7565
_cell_length_b 4.0852
_cell_length_c 4.0852
_cell_angle_alpha 90.00
_cell_angle_beta 90.00
_cell_angle_gamma 90.00
loop_
_symmetry_equiv_pos_as_xyz
'x,y,z'
loop_
_atom_site_label
_atom_site_type_symbol
_atom_site_fract_x
_atom_site_fract_y
_atom_site_fract_z
Ta1 Ta 0.5000 0.5000 0.5000
Au1 Au 0.5000 0.0000 0.0000
Rh1 Rh 0.0000 0.5000 0.0000
Rh2 Rh 0.0000 0.0000 0.5000
```

Space group   No. 123
Calculated volume   15.7 Å³/atom
DOS at the Fermi energy   0.90 states/eV/f.u.
DFT formation energy   -0.402 eV/atom

***

# 5
DFT (GGA-PBE) results for a geometry-optimized Ba2TmCu2O6 structure.

Structure (CIF):
```
data_Ba2TmCu2O6
_symmetry_space_group_name_H-M 'P 1'
_symmetry_Int_Tables_number 1
_cell_length_a 6.0222
_cell_length_b 6.0222
_cell_length_c 6.7299
_cell_angle_alpha 63.42
_cell_angle_beta 63.42
_cell_angle_gamma 60.00
loop_
_symmetry_equiv_pos_as_xyz
'x,y,z'
loop_
_atom_site_label
_atom_site_type_symbol
_atom_site_fract_x
_atom_site_fract_y
_atom_site_fract_z
O1 O 0.7680 0.2439 0.7443
Cu1 Cu 0.4207 0.4207 0.7378
Cu2 Cu 0.5793 0.5793 0.2622
Ba1 Ba 0.2166 0.2166 0.3503
O2 O 0.2320 0.7561 0.2557
O3 O 0.7561 0.2320 0.2557
O4 O 0.2439 0.2439 0.7443
Ba2 Ba 0.7834 0.7834 0.6497
Tm1 Tm 0.0000 0.0000 0.0000
O5 O 0.2439 0.7680 0.7443
O6 O 0.7561 0.7561 0.2557
```

Space group   No. 166
Calculated volume   16.5 Å³/atom
DOS at the Fermi energy   3.13 states/eV/f.u.
Energy relative to the elements, uncorrected   -1.944 eV/atom

***

# 6
DFT (GGA-PBE) results for a geometry-optimized Na2HfIrOs structure.

Structure (CIF):
```
data_Na2HfIrOs
_symmetry_space_group_name_H-M 'P 1'
_symmetry_Int_Tables_number 1
_cell_length_a 5.2802
_cell_length_b 4.6559
_cell_length_c 5.2802
_cell_angle_alpha 90.00
_cell_angle_beta 90.00
_cell_angle_gamma 90.00
loop_
_symmetry_equiv_pos_as_xyz
'x,y,z'
loop_
_atom_site_label
_atom_site_type_symbol
_atom_site_fract_x
_atom_site_fract_y
_atom_site_fract_z
Ir1 Ir 0.5000 0.5000 0.5000
Na1 Na 0.5000 0.0000 0.0000
Hf1 Hf 0.0000 0.0000 0.0000
Os1 Os 0.0000 0.5000 0.0000
Na2 Na 0.0000 0.0000 0.5000
```

Space group   No. 123
Calculated volume   26.0 Å³/atom
DOS at the Fermi energy   8.03 states/eV/f.u.
DFT formation energy   2.164 eV/atom

***

# 7
DFT (GGA-PBE) results for a geometry-optimized DyMgSc2 structure.

Structure (CIF):
```
data_DyMgSc2
_symmetry_space_group_name_H-M 'P 1'
_symmetry_Int_Tables_number 1
_cell_length_a 3.3211
_cell_length_b 3.3211
_cell_length_c 11.0009
_cell_angle_alpha 81.32
_cell_angle_beta 81.32
_cell_angle_gamma 60.00
loop_
_symmetry_equiv_pos_as_xyz
'x,y,z'
loop_
_atom_site_label
_atom_site_type_symbol
_atom_site_fract_x
_atom_site_fract_y
_atom_site_fract_z
Dy1 Dy 0.5000 0.5000 0.5000
Sc1 Sc 0.7476 0.7476 0.7571
Mg1 Mg 0.0000 0.0000 0.0000
Sc2 Sc 0.2524 0.2524 0.2429
```

Space group   No. 166
E above lowest polymorph   1.05 kcal/mol of atoms
Calculated volume   25.9 Å³/atom
DOS at the Fermi energy   5.46 states/eV/f.u.
DFT formation energy   0.042 eV/atom

***

# 8
DFT (GGA-PBE) results for a geometry-optimized Pm3PaSn6 structure.

Structure (CIF):
```
data_Pm3PaSn6
_symmetry_space_group_name_H-M 'P 1'
_symmetry_Int_Tables_number 1
_cell_length_a 10.0365
_cell_length_b 7.4082
_cell_length_c 8.6056
_cell_angle_alpha 90.00
_cell_angle_beta 63.96
_cell_angle_gamma 90.00
loop_
_symmetry_equiv_pos_as_xyz
'x,y,z'
loop_
_atom_site_label
_atom_site_type_symbol
_atom_site_fract_x
_atom_site_fract_y
_atom_site_fract_z
Pm1 Pm 0.5003 0.9710 0.7500
Sn1 Sn 0.7514 0.7494 0.9985
Pm2 Pm 0.9997 0.4710 0.7500
Sn2 Sn 0.7486 0.2494 0.5015
Sn3 Sn 0.7461 0.1422 0.8609
Sn4 Sn 0.2564 0.1520 0.6452
Sn5 Sn 0.7539 0.6422 0.6391
Sn6 Sn 0.2436 0.6520 0.8548
Pa1 Pa 0.5000 0.5000 0.5000
Pm3 Pm 0.5000 0.5000 0.0000
Pm4 Pm 0.0003 0.5290 0.2500
Pm5 Pm 0.0000 0.0000 0.5000
Sn7 Sn 0.2514 0.7506 0.4985
Sn8 Sn 0.7564 0.3480 0.1452
Sn9 Sn 0.7436 0.8480 0.3548
Sn10 Sn 0.2461 0.3578 0.3609
Sn11 Sn 0.2486 0.2506 0.0015
Pa2 Pa 0.0000 0.0000 0.0000
Sn12 Sn 0.2539 0.8578 0.1391
Pm6 Pm 0.4997 0.0290 0.2500
```

Space group   No. 14
Calculated volume   28.7 Å³/atom
DOS at the Fermi energy   8.40 states/eV/f.u.
DFT formation energy   -0.500 eV/atom

***

# 9
DFT (GGA-PBE) results for a geometry-optimized Ce2SmTmP4 structure.

Structure (CIF):
```
data_Ce2SmTmP4
_symmetry_space_group_name_H-M 'P 1'
_symmetry_Int_Tables_number 1
_cell_length_a 4.0601
_cell_length_b 7.0164
_cell_length_c 7.0332
_cell_angle_alpha 70.49
_cell_angle_beta 90.00
_cell_angle_gamma 90.00
loop_
_symmetry_equiv_pos_as_xyz
'x,y,z'
loop_
_atom_site_label
_atom_site_type_symbol
_atom_site_fract_x
_atom_site_fract_y
_atom_site_fract_z
Sm1 Sm 0.5000 0.5000 0.0000
Ce1 Ce 0.0000 0.0000 0.0000
Ce2 Ce 0.5000 0.0000 0.5000
Tm1 Tm 0.0000 0.5000 0.5000
P1 P 0.5000 0.7465 0.2561
P2 P 0.0000 0.7502 0.7449
P3 P 0.0000 0.2498 0.2551
P4 P 0.5000 0.2535 0.7439
```

Space group   No. 10
Calculated volume   23.6 Å³/atom
DOS at the Fermi energy   8.86 states/eV/f.u.
DFT formation energy   -1.542 eV/atom

***

# 10
DFT (GGA-PBE) results for a geometry-optimized RbGa12Sn6 structure.

Structure (CIF):
```
data_RbGa12Sn6
_symmetry_space_group_name_H-M 'P 1'
_symmetry_Int_Tables_number 1
_cell_length_a 8.3453
_cell_length_b 8.3453
_cell_length_c 8.3453
_cell_angle_alpha 107.45
_cell_angle_beta 107.45
_cell_angle_gamma 107.45
loop_
_symmetry_equiv_pos_as_xyz
'x,y,z'
loop_
_atom_site_label
_atom_site_type_symbol
_atom_site_fract_x
_atom_site_fract_y
_atom_site_fract_z
Sn1 Sn 0.7995 0.2963 0.2963
Ga1 Ga 0.5000 0.0984 0.9016
Ga2 Ga 0.4249 0.2170 0.4249
Sn2 Sn 0.7037 0.7037 0.2005
Sn3 Sn 0.2005 0.7037 0.7037
Ga3 Ga 0.0984 0.9016 0.5000
Sn4 Sn 0.2963 0.2963 0.7995
Ga4 Ga 0.7830 0.5751 0.5751
Ga5 Ga 0.4249 0.4249 0.2170
Ga6 Ga 0.9016 0.5000 0.0984
Sn5 Sn 0.7037 0.2005 0.7037
Ga7 Ga 0.5751 0.7830 0.5751
Ga8 Ga 0.0984 0.5000 0.9016
Ga9 Ga 0.9016 0.0984 0.5000
Ga10 Ga 0.5751 0.5751 0.7830
Ga11 Ga 0.2170 0.4249 0.4249
Ga12 Ga 0.5000 0.9016 0.0984
Sn6 Sn 0.2963 0.7995 0.2963
Rb1 Rb 0.0000 0.0000 0.0000
```

Space group   No. 166
Calculated volume   25.2 Å³/atom
DOS at the Fermi energy   7.55 states/eV/f.u.
DFT formation energy   0.043 eV/atom

***

Number 1: raw total energy -6.50 eV/atom. Number 2: raw total energy -4.86 eV/atom. Number 3: raw total energy -4.15 eV/atom. Number 4: raw total energy -7.86 eV/atom. Number 5: raw total energy -6.15 eV/atom. Number 6: raw total energy -4.37 eV/atom. Number 7: raw total energy -4.67 eV/atom. Number 8: raw total energy -5.28 eV/atom. Number 9: raw total energy -6.88 eV/atom. Number 10: raw total energy -3.18 eV/atom.